# LiPmAl (GGA-PBE, optimized geometry)
data_LiPmAl
_chemical_formula_sum 'Li2 Pm2 Al2'
_symmetry_space_group_name_H-M 'P 1'
_symmetry_Int_Tables_number 1
_cell_length_a 5.5570
_cell_length_b 5.7255
_cell_length_c 5.7255
_cell_angle_alpha 62.06
_cell_angle_beta 60.97
_cell_angle_gamma 60.97
loop_
_symmetry_equiv_pos_as_xyz
'x,y,z'
loop_
_atom_site_label
_atom_site_type_symbol
_atom_site_fract_x
_atom_site_fract_y
_atom_site_fract_z
_atom_site_occupancy
Li1 Li 0.0000 0.0000 0.0000 1
Li2 Li 0.5000 0.0000 0.0000 1
Pm1 Pm 0.8615 0.3885 0.3885 1
Pm2 Pm 0.1385 0.6115 0.6115 1
Al1 Al 0.5000 0.5000 0.0000 1
Al2 Al 0.5000 0.0000 0.5000 1
# symmetry: No. 74
# excess energy over the best structure of this formula in the dataset: 0.000 eV per atom
# E_tot: -3.6893 eV/atom
# ΔH_f (0 K): -0.22 eV per atom

---

# LiPm3Al (GGA-PBE, optimized geometry)
data_LiPm3Al
_chemical_formula_sum 'Li2 Pm6 Al2'
_symmetry_space_group_name_H-M 'P 1'
_symmetry_Int_Tables_number 1
_cell_length_a 5.2437
_cell_length_b 5.2356
_cell_length_c 10.4397
_cell_angle_alpha 90.00
_cell_angle_beta 75.45
_cell_angle_gamma 90.00
loop_
_symmetry_equiv_pos_as_xyz
'x,y,z'
loop_
_atom_site_label
_atom_site_type_symbol
_atom_site_fract_x
_atom_site_fract_y
_atom_site_fract_z
_atom_site_occupancy
Li1 Li 0.4825 0.7500 0.6833 1
Li2 Li 0.1658 0.2500 0.3167 1
Pm1 Pm 0.7588 0.2500 0.1307 1
Pm2 Pm 0.3894 0.2500 0.8696 1
Pm3 Pm 0.5746 0.2500 0.4992 1
Pm4 Pm 0.2590 0.7500 0.1304 1
Pm5 Pm 0.8895 0.7500 0.8693 1
Pm6 Pm 0.0738 0.7500 0.5008 1
Al1 Al 0.6654 0.7500 0.3175 1
Al2 Al 0.9829 0.2500 0.6825 1
# symmetry: No. 63
# excess energy over the best structure of this formula in the dataset: 0.000 eV per atom
# E_tot: -4.1120 eV/atom
# ΔH_f (0 K): -0.13 eV per atom

---

# LiPmAl4 (GGA-PBE, optimized geometry)
data_LiPmAl4
_chemical_formula_sum 'Li1 Pm1 Al4'
_symmetry_space_group_name_H-M 'P 1'
_symmetry_Int_Tables_number 1
_cell_length_a 5.5471
_cell_length_b 5.5471
_cell_length_c 5.5471
_cell_angle_alpha 60.00
_cell_angle_beta 60.00
_cell_angle_gamma 60.00
loop_
_symmetry_equiv_pos_as_xyz
'x,y,z'
loop_
_atom_site_label
_atom_site_type_symbol
_atom_site_fract_x
_atom_site_fract_y
_atom_site_fract_z
_atom_site_occupancy
Li1 Li 0.2500 0.2500 0.2500 1
Al1 Al 0.6254 0.6254 0.1237 1
Al2 Al 0.6254 0.1237 0.6254 1
Al3 Al 0.6254 0.6254 0.6254 1
Al4 Al 0.1237 0.6254 0.6254 1
Pm1 Pm 0.0000 0.0000 0.0000 1
# symmetry: No. 216
# E_tot: -3.8774 eV/atom
# ΔH_f (0 K): -0.27 eV per atom